1.
{"formula": "BeFe2Cl", "functional": "PBE", "state": "relaxed", "polymorph_energy_mev_per_atom": 474, "formation_energy_uncorrected_ev_per_atom": 0.558, "energy_ev_per_atom": -5.067, "lattice_angstrom": [[2.8497, 0.0000, 0.0000], [0.0000, 3.9709, 0.0000], [0.0000, 0.0000, 4.5009]], "species": ["Be", "Fe", "Fe", "Cl"], "fractional_positions": [[0.0000, 0.0000, 0.0000], [0.0000, 0.5000, 0.5000], [0.5000, 0.5000, 0.0000], [0.5000, 0.0000, 0.5000]]}

---

2.
{"formula": "Pm2Tc3Ge4", "functional": "PBE", "state": "relaxed", "e_form_ev_per_atom": -0.40, "energy_ev_per_atom": -6.967, "lattice_angstrom": [[2.8017, -7.6766, 0.0000], [2.8017, 7.6766, 0.0000], [0.0000, 0.0000, 7.7552]], "species": ["Pm", "Pm", "Pm", "Pm", "Tc", "Tc", "Tc", "Tc", "Tc", "Tc", "Ge", "Ge", "Ge", "Ge", "Ge", "Ge", "Ge", "Ge"], "fractional_positions": [[0.1109, 0.8891, 0.9080], [0.3891, 0.6109, 0.4080], [0.6109, 0.3891, 0.5920], [0.8891, 0.1109, 0.0920], [0.0000, 0.0000, 0.5000], [0.0285, 0.4715, 0.7500], [0.4715, 0.0285, 0.2500], [0.5000, 0.5000, 0.0000], [0.5285, 0.9715, 0.7500], [0.9715, 0.5285, 0.2500], [0.1830, 0.8170, 0.5270], [0.1955, 0.3045, 0.7500], [0.3045, 0.1955, 0.2500], [0.3170, 0.6830, 0.0270], [0.6830, 0.3170, 0.9730], [0.6955, 0.8045, 0.7500], [0.8045, 0.6955, 0.2500], [0.8170, 0.1830, 0.4730]]}

---

3.
{"formula": "PmEr2InC", "functional": "PBE", "state": "relaxed", "e_form_ev_per_atom": -0.47, "energy_ev_per_atom": -5.635, "lattice_angstrom": [[4.8819, 0.0000, 0.0000], [0.0000, 4.8819, 0.0000], [0.0000, 0.0000, 5.0845]], "species": ["Pm", "Er", "Er", "In", "C"], "fractional_positions": [[0.0000, 0.0000, 0.0000], [0.0000, 0.5000, 0.5000], [0.5000, 0.0000, 0.5000], [0.5000, 0.5000, 0.0000], [0.0000, 0.0000, 0.5000]]}

---

4.
{"formula": "Ba2BePt", "functional": "PBE", "state": "relaxed", "e_form_ev_per_atom": 0.21, "energy_ev_per_atom": -3.194, "lattice_angstrom": [[0.0000, 3.7489, 3.7489], [3.7489, 0.0000, 3.7489], [3.7489, 3.7489, 0.0000]], "species": ["Ba", "Ba", "Be", "Pt"], "fractional_positions": [[0.0000, 0.0000, 0.0000], [0.2500, 0.2500, 0.2500], [0.5000, 0.5000, 0.5000], [0.7500, 0.7500, 0.7500]]}

---

5.
{"formula": "Na12SrTl6", "functional": "PBE", "state": "relaxed", "polymorph_energy_mev_per_atom": 0, "e_form_ev_per_atom": -0.08, "energy_ev_per_atom": -1.750, "lattice_angstrom": [[5.9146, 3.4148, 5.0273], [-5.9146, 3.4148, 5.0273], [0.0000, -6.8296, 5.0273]], "species": ["Na", "Na", "Na", "Na", "Na", "Na", "Na", "Na", "Na", "Na", "Na", "Na", "Sr", "Tl", "Tl", "Tl", "Tl", "Tl", "Tl"], "fractional_positions": [[0.0216, 0.3077, 0.9207], [0.0793, 0.9784, 0.6923], [0.1064, 0.3398, 0.4689], [0.3077, 0.9207, 0.0216], [0.3398, 0.4689, 0.1064], [0.4689, 0.1064, 0.3398], [0.5311, 0.8936, 0.6602], [0.6602, 0.5311, 0.8936], [0.6923, 0.0793, 0.9784], [0.8936, 0.6602, 0.5311], [0.9207, 0.0216, 0.3077], [0.9784, 0.6923, 0.0793], [0.5000, 0.5000, 0.5000], [0.2183, 0.6191, 0.7656], [0.2344, 0.7817, 0.3809], [0.3809, 0.2344, 0.7817], [0.6191, 0.7656, 0.2183], [0.7656, 0.2183, 0.6191], [0.7817, 0.3809, 0.2344]]}

---

6.
{"formula": "NbCo", "functional": "PBE", "state": "relaxed", "e_form_ev_per_atom": 0.36, "energy_ev_per_atom": -8.224, "lattice_angstrom": [[7.9580, 0.0000, 0.0000], [0.0000, 7.9580, 0.0000], [0.0000, 0.0000, 4.1712]], "species": ["Nb", "Nb", "Nb", "Nb", "Nb", "Nb", "Nb", "Nb", "Co", "Co", "Co", "Co", "Co", "Co", "Co", "Co"], "fractional_positions": [[0.1082, 0.3401, 0.0000], [0.1082, 0.6599, 0.5000], [0.3401, 0.1082, 0.5000], [0.3401, 0.8918, 0.0000], [0.6599, 0.1082, 0.0000], [0.6599, 0.8918, 0.5000], [0.8918, 0.3401, 0.5000], [0.8918, 0.6599, 0.0000], [0.2907, 0.4133, 0.5000], [0.2907, 0.5867, 0.0000], [0.4133, 0.2907, 0.0000], [0.4133, 0.7093, 0.5000], [0.5867, 0.2907, 0.5000], [0.5867, 0.7093, 0.0000], [0.7093, 0.4133, 0.0000], [0.7093, 0.5867, 0.5000]]}

---

7.
{"formula": "NdSm2SnC", "functional": "PBE", "state": "relaxed", "e_form_ev_per_atom": -0.51, "energy_ev_per_atom": -5.997, "lattice_angstrom": [[5.0349, 0.0000, 0.0000], [0.0000, 5.0349, 0.0000], [0.0000, 0.0000, 5.1026]], "species": ["Nd", "Sm", "Sm", "Sn", "C"], "fractional_positions": [[0.0000, 0.0000, 0.0000], [0.0000, 0.5000, 0.5000], [0.5000, 0.0000, 0.5000], [0.5000, 0.5000, 0.0000], [0.0000, 0.0000, 0.5000]]}

---

8.
{"formula": "Na3NbNi", "functional": "PBE", "state": "relaxed", "e_form_ev_per_atom": 1.34, "energy_ev_per_atom": -2.619, "lattice_angstrom": [[5.1896, 0.0000, 0.0000], [0.0000, 5.1896, 0.0000], [0.0000, 0.0000, 5.1896]], "species": ["Na", "Na", "Na", "Nb", "Ni"], "fractional_positions": [[0.0000, 0.0000, 0.5000], [0.0000, 0.5000, 0.0000], [0.5000, 0.0000, 0.0000], [0.5000, 0.5000, 0.5000], [0.0000, 0.0000, 0.0000]]}

---

9.
{"formula": "RbTiHgSe3", "functional": "PBE", "state": "relaxed", "formation_energy_uncorrected_ev_per_atom": -0.849, "energy_ev_per_atom": -4.119, "lattice_angstrom": [[7.4688, -3.9420, 0.0000], [7.4688, 3.9420, 0.0000], [-2.4269, 0.0000, 7.0093]], "species": ["Rb", "Rb", "Ti", "Ti", "Hg", "Hg", "Se", "Se", "Se", "Se", "Se", "Se"], "fractional_positions": [[0.1705, 0.1705, 0.2459], [0.8295, 0.8295, 0.7541], [0.4299, 0.4299, 0.1228], [0.5701, 0.5701, 0.8772], [0.3116, 0.6884, 0.5000], [0.6884, 0.3116, 0.5000], [0.0997, 0.6176, 0.1937], [0.3824, 0.9003, 0.8063], [0.3916, 0.3916, 0.7772], [0.6084, 0.6084, 0.2228], [0.6176, 0.0997, 0.1937], [0.9003, 0.3824, 0.8063]]}

---

10.
{"formula": "Ba2AlH", "functional": "PBE", "state": "relaxed", "polymorph_energy_mev_per_atom": 12, "energy_ev_per_atom": -2.780, "lattice_angstrom": [[3.7791, 0.0000, 0.0000], [0.0000, 3.7791, 0.0000], [0.0000, 0.0000, 8.3907]], "species": ["Ba", "Ba", "Al", "H"], "fractional_positions": [[0.0000, 0.0000, 0.2293], [0.0000, 0.0000, 0.7707], [0.5000, 0.5000, 0.5000], [0.5000, 0.5000, 0.0000]]}

---

11.
{"formula": "InH3O", "functional": "PBE", "state": "relaxed", "polymorph_energy_mev_per_atom": 19, "energy_ev_per_atom": -2.787, "lattice_angstrom": [[3.7700, 0.0000, 0.0000], [0.0000, 3.7700, 0.0000], [0.0000, 0.0000, 3.7700]], "species": ["In", "H", "H", "H", "O"], "fractional_positions": [[0.0000, 0.0000, 0.0000], [0.0000, 0.0000, 0.5000], [0.0000, 0.5000, 0.0000], [0.5000, 0.0000, 0.0000], [0.5000, 0.5000, 0.5000]]}

---

12.
{"formula": "Cs2RbLaCl6", "functional": "PBE", "state": "relaxed", "formation_energy_uncorrected_ev_per_atom": -2.185, "energy_ev_per_atom": -4.054, "lattice_angstrom": [[7.0619, -4.1243, 0.0000], [7.0619, 4.1243, 0.0000], [-4.6782, 0.0000, 6.9450]], "species": ["Cs", "Cs", "Rb", "La", "Cl", "Cl", "Cl", "Cl", "Cl", "Cl"], "fractional_positions": [[0.2451, 0.2451, 0.2253], [0.7549, 0.7549, 0.7747], [0.0000, 0.0000, 0.5000], [0.5000, 0.5000, 0.0000], [0.2017, 0.6759, 0.1652], [0.2759, 0.2759, 0.6724], [0.3241, 0.7983, 0.8348], [0.6759, 0.2017, 0.1652], [0.7241, 0.7241, 0.3276], [0.7983, 0.3241, 0.8348]]}